A geometry-optimized RbGaHg2Se structure, computed with PBE.

abc: 5.5787 5.5787 6.3395
angles: 90.00 90.00 90.00
Space group P4/mmm (No. 123)
Symmetry-distinct sites (fractional):
1 Rb 0.0000 0.0000 0.0000
2 Ga 0.5000 0.5000 0.0000
3 Hg 0.0000 0.5000 0.5000
4 Se 0.0000 0.0000 0.5000

Calculated values
Calculated total energy (eV per atom): -1.463
Crystal system: tetragonal